Entry 1:
A plane-wave DFT calculation with GGA-PBE was carried out for a relaxed Zr2TlCd crystal.

Cell lengths 3.3608, 4.3181, 6.3797 Å; angles 90.00, 90.00, 90.00 degrees
Element x y z (fractional)
Zr: 0.5000 0.5000 0.2509
Zr: 0.0000 0.0000 0.0069
Cd: 0.0000 0.0000 0.4915
Tl: 0.5000 0.5000 0.7507

Output
E_tot: -5.086 eV/atom
Energy relative to the elements: 0.009 eV per atom
Magnetic moment: 0.0000 μB/atom

Entry 2:
A plane-wave DFT calculation with GGA-PBE was carried out for a relaxed Ta4Fe4Si7 crystal.

Cell lengths 9.2090, 9.2090, 9.2090 Å; angles 94.24, 94.24, 148.44 degrees
Element x y z (fractional)
Si: 0.0945 0.5000 0.5945
Si: 0.0000 0.7007 0.7007
Si: 0.2907 0.7093 0.0000
Si: 0.0000 0.2993 0.2993
Si: 0.2907 0.2907 0.5814
Si: 0.2496 0.2496 0.0000
Si: 0.7093 0.2907 0.0000
Si: 0.5000 0.0945 0.5945
Si: 0.7093 0.7093 0.4186
Si: 0.9055 0.5000 0.4055
Si: 0.2993 0.0000 0.2993
Si: 0.5000 0.9055 0.4055
Si: 0.7007 0.0000 0.7007
Si: 0.7504 0.7504 0.0000
Ta: 0.1350 0.8650 0.0000
Ta: 0.3081 0.5000 0.8081
Ta: 0.8650 0.8650 0.7299
Ta: 0.8650 0.1350 0.0000
Ta: 0.5000 0.3081 0.8081
Ta: 0.6919 0.5000 0.1919
Ta: 0.1350 0.1350 0.2701
Ta: 0.5000 0.6919 0.1919
Fe: 0.3998 0.6002 0.5000
Fe: 0.1002 0.8998 0.5000
Fe: 0.6002 0.3998 0.5000
Fe: 0.3998 0.8998 0.7997
Fe: 0.6002 0.1002 0.2003
Fe: 0.8998 0.1002 0.5000
Fe: 0.1002 0.6002 0.2003
Fe: 0.8998 0.3998 0.7997

Output
E_tot: -8.517 eV/atom
E_form (uncorrected): -8.53 eV/f.u.
Magnetic moment: 0.0003 μB/atom